Record 1
First-principles (GGA-PBE) data for Mo4W2C3S3 after structural relaxation, as listed in OQMD.

Properties
Uncorrected energy: -9.175 eV/atom

abc: 5.6552 5.6552 11.8647
angles: 102.58 102.58 60.04
Positions (direct):
C  0.5000  0.0000  0.0000
C  0.1909  0.6509  0.0055
C  0.3491  0.8091  0.4945
C  0.0000  0.5000  0.5000
C  0.6509  0.1909  0.5055
C  0.8091  0.3491  0.9945
Mo  0.8917  0.7151  0.0988
Mo  0.1496  0.0776  0.1035
Mo  0.9224  0.8504  0.3965
Mo  0.2849  0.1083  0.4012
Mo  0.7151  0.8917  0.5988
Mo  0.0776  0.1496  0.6035
Mo  0.8504  0.9224  0.8965
Mo  0.1083  0.2849  0.9012
S  0.2470  0.4253  0.2464
S  0.8804  0.1196  0.2500
S  0.5747  0.7530  0.2536
S  0.4253  0.2470  0.7464
S  0.1196  0.8804  0.7500
S  0.7530  0.5747  0.7536
W  0.5438  0.3202  0.0808
W  0.6798  0.4562  0.4192
W  0.3202  0.5438  0.5808
W  0.4562  0.6798  0.9192

***

Record 2
First-principles (GGA-PBE) data for BaTc2Ag after structural relaxation, as listed in OQMD.

Properties
Uncorrected energy: -5.283 eV/atom

abc: 4.8669 4.8669 4.8669
angles: 60.00 60.00 60.00
Positions (direct):
Ag  0.0000  0.0000  0.0000
Ba  0.7500  0.7500  0.7500
Tc  0.2500  0.2500  0.2500
Tc  0.5000  0.5000  0.5000

***

Record 3
First-principles (GGA-PBE) data for LuMgInS3 after structural relaxation, as listed in OQMD.

Properties
Energy relative to the lowest polymorph listed for this composition: 0 meV per atom
Uncorrected energy: -4.869 eV/atom

abc: 14.1934 3.9766 10.9616
angles: 90.00 90.00 90.00
Positions (direct):
In  0.2424  0.2500  0.0229
In  0.7424  0.2500  0.4771
In  0.2576  0.7500  0.5229
In  0.7576  0.7500  0.9771
Lu  0.9756  0.2500  0.1503
Lu  0.4756  0.2500  0.3497
Lu  0.5244  0.7500  0.6503
Lu  0.0244  0.7500  0.8497
Mg  0.4614  0.7500  0.0976
Mg  0.9614  0.7500  0.4024
Mg  0.0386  0.2500  0.5976
Mg  0.5386  0.2500  0.9024
S  0.0950  0.7500  0.0742
S  0.5614  0.2500  0.1258
S  0.8621  0.7500  0.2210
S  0.3621  0.7500  0.2790
S  0.0614  0.2500  0.3742
S  0.5950  0.7500  0.4258
S  0.4050  0.2500  0.5742
S  0.9386  0.7500  0.6258
S  0.6379  0.2500  0.7210
S  0.1379  0.2500  0.7790
S  0.4386  0.7500  0.8742
S  0.9050  0.2500  0.9258

***

Record 4
First-principles (GGA-PBE) data for LiAgP2 after structural relaxation, as listed in OQMD.

Properties
Uncorrected energy: -4.111 eV/atom

abc: 5.7282 5.7282 5.4004
angles: 107.06 107.06 110.31
Positions (direct):
Ag  0.3939  0.5757  0.2927
Ag  0.5757  0.3939  0.7927
Li  0.5323  0.1210  0.1823
Li  0.1210  0.5323  0.6823
P  0.9396  0.1562  0.0377
P  0.0259  0.8175  0.0769
P  0.1562  0.9396  0.5377
P  0.8175  0.0259  0.5769

***

Record 5
First-principles (GGA-PBE) data for TaGa2Ir after structural relaxation, as listed in OQMD.

Properties
Uncorrected energy: -6.831 eV/atom

abc: 4.4955 4.4955 4.4955
angles: 60.00 60.00 60.00
Positions (direct):
Ga  0.0000  0.0000  0.0000
Ga  0.7500  0.7500  0.7500
Ir  0.2500  0.2500  0.2500
Ta  0.5000  0.5000  0.5000

***

Record 6
First-principles (GGA-PBE) data for TlSnMo4C2 after structural relaxation, as listed in OQMD.

Properties
Uncorrected energy: -8.427 eV/atom

abc: 3.1838 3.1838 13.7969
angles: 90.00 90.00 120.00
Positions (direct):
C  0.3333  0.6667  0.2464
C  0.3333  0.6667  0.7536
Mo  0.6667  0.3333  0.1659
Mo  0.0000  0.0000  0.3247
Mo  0.0000  0.0000  0.6753
Mo  0.6667  0.3333  0.8341
Sn  0.0000  0.0000  0.0000
Tl  0.6667  0.3333  0.5000

***

Record 7
First-principles (GGA-PBE) data for AlAgMo after structural relaxation, as listed in OQMD.

Properties
Energy relative to the lowest polymorph listed for this composition: 0 meV per atom
Uncorrected energy: -5.136 eV/atom

abc: 4.2772 4.2772 4.2772
angles: 60.00 60.00 60.00
Positions (direct):
Ag  0.2500  0.2500  0.2500
Al  0.0000  0.0000  0.0000
Mo  0.7500  0.7500  0.7500

***

Record 8
First-principles (GGA-PBE) data for TbSmCo2Pb after structural relaxation, as listed in OQMD.

Properties
Uncorrected energy: -5.765 eV/atom

abc: 3.8795 7.3976 7.3976
angles: 30.40 90.00 90.00
Positions (direct):
Co  0.0000  0.2060  0.2060
Co  0.0000  0.7907  0.7907
Pb  0.0000  0.0021  0.0021
Sm  0.5000  0.3613  0.3613
Tb  0.5000  0.6399  0.6399